# 1
! SCAN ZrSc2Co, PBEsol geometry; values from VASP
! - space group = Imm2
! - E (eV/cell) = -77.1
! - polymorph energy (0 for the lowest one) (meV/atom) = 15
! - crystal system = orthorhombic
! - energy relative to the elements (eV per atom) = -0.15
&SYSTEM
  ibrav = 0, nat = 4, ntyp = 3
/
ATOMIC_SPECIES
Sc 44.96 Sc.upf
Co 58.93 Co.upf
Zr 91.22 Zr.upf
CELL_PARAMETERS angstrom
3.272 0.000 0.000
0.000 4.795 -0.002
-1.636 -2.395 4.779
ATOMIC_POSITIONS angstrom
Sc 1.636 2.399 4.339
Sc 1.636 0.001 2.400
Co 0.000 2.398 2.359
Zr 1.636 2.398 0.456

---

# 2
! SCAN Be2NbCu, PBEsol geometry; values from VASP
! - space group = I-42d
! - E (eV/cell) = -110.1
! - crystal system = tetragonal
! - energy relative to the elements (eV per atom) = 0.49
&SYSTEM
  ibrav = 0, nat = 8, ntyp = 3
/
ATOMIC_SPECIES
Be 9.01 Be.upf
Nb 92.91 Nb.upf
Cu 63.55 Cu.upf
CELL_PARAMETERS angstrom
3.812 0.000 0.000
0.000 3.812 0.000
-1.906 -1.906 7.150
ATOMIC_POSITIONS angstrom
Be 1.720 2.859 1.787
Be 2.092 0.953 1.787
Be -0.953 -0.186 5.362
Be 0.953 0.186 5.362
Nb 0.000 1.906 3.575
Nb 0.000 0.000 0.000
Cu 1.906 0.000 3.575
Cu 1.906 1.906 0.000

---

# 3
! SCAN EuCd2Sb2, PBEsol geometry; values from VASP
! - formation energy (no corrections) (meV per atom) = -580
! - space group = P-3m1
! - E (eV/cell) = -192.0
! - crystal system = trigonal
&SYSTEM
  ibrav = 0, nat = 5, ntyp = 3
/
ATOMIC_SPECIES
Eu 151.96 Eu.upf
Sb 121.76 Sb.upf
Cd 112.41 Cd.upf
CELL_PARAMETERS angstrom
4.689 0.000 0.000
-2.344 4.061 0.000
0.000 0.000 7.442
ATOMIC_POSITIONS angstrom
Eu 0.000 0.000 0.000
Sb 0.000 2.707 1.781
Sb 2.344 1.354 5.661
Cd 0.000 2.707 4.738
Cd 2.344 1.354 2.704

---

# 4
! SCAN Tl2InPt, PBEsol geometry; values from VASP
! - space group = I4/mmm
! - E (eV/cell) = -247.6
! - polymorph energy (0 for the lowest one) (meV/atom) = 304
! - crystal system = tetragonal
! - energy relative to the elements (eV per atom) = 0.18
&SYSTEM
  ibrav = 0, nat = 4, ntyp = 3
/
ATOMIC_SPECIES
In 114.82 In.upf
Pt 195.08 Pt.upf
Tl 204.38 Tl.upf
CELL_PARAMETERS angstrom
-3.888 1.834 1.281
-1.906 -4.060 0.029
4.051 0.601 3.584
ATOMIC_POSITIONS angstrom
In -2.897 -1.113 0.655
Pt 0.000 0.000 0.000
Tl -1.366 0.661 2.760
Tl -0.376 -2.286 2.134

---

# 5
! SCAN Zr4AlSe, PBEsol geometry; values from VASP
! - formation energy (no corrections) (meV per atom) = 226
! - space group = F-43m
! - E (eV/cell) = -149.3
! - crystal system = cubic
&SYSTEM
  ibrav = 0, nat = 6, ntyp = 3
/
ATOMIC_SPECIES
Al 26.98 Al.upf
Se 78.96 Se.upf
Zr 91.22 Zr.upf
CELL_PARAMETERS angstrom
-3.370 1.168 -4.371
-5.600 0.014 0.680
-2.847 4.868 -0.145
ATOMIC_POSITIONS angstrom
Al -8.863 4.537 -2.877
Se 0.000 0.000 0.000
Zr -4.454 2.280 -1.446
Zr -5.856 4.677 -1.517
Zr -6.113 2.855 -3.598
Zr -7.211 2.287 -1.111

---

# 6
! SCAN SrNi2Cl, PBEsol geometry; values from VASP
! - formation energy (no corrections) (meV per atom) = 122
! - space group = P4/mmm
! - E (eV/cell) = -62.1
! - crystal system = tetragonal
&SYSTEM
  ibrav = 0, nat = 4, ntyp = 3
/
ATOMIC_SPECIES
Cl 35.45 Cl.upf
Ni 58.69 Ni.upf
Sr 87.62 Sr.upf
CELL_PARAMETERS angstrom
3.959 0.000 0.000
0.000 3.959 0.000
0.000 0.000 5.504
ATOMIC_POSITIONS angstrom
Cl 1.980 1.980 2.752
Ni 0.000 0.000 4.393
Ni 0.000 0.000 1.111
Sr 1.980 1.980 0.000

---

# 7
! SCAN MgCrFe, PBEsol geometry; values from VASP
! - space group = I4mm
! - E (eV/cell) = -40.5
! - crystal system = tetragonal
! - energy relative to the elements (eV per atom) = 0.34
&SYSTEM
  ibrav = 0, nat = 3, ntyp = 3
/
ATOMIC_SPECIES
Cr 52.00 Cr.upf
Fe 55.84 Fe.upf
Mg 24.30 Mg.upf
CELL_PARAMETERS angstrom
-1.750 2.148 -0.442
0.395 -0.248 -2.767
-3.119 -4.098 1.346
ATOMIC_POSITIONS angstrom
Cr -0.212 -0.176 -0.014
Fe -1.765 0.049 -1.679
Mg -2.498 -2.071 -0.170

---

# 8
! SCAN CuSbSe, PBEsol geometry; values from VASP
! - formation energy (no corrections) (meV per atom) = 222
! - space group = F-43m
! - E (eV/cell) = -71.9
! - crystal system = cubic
&SYSTEM
  ibrav = 0, nat = 3, ntyp = 3
/
ATOMIC_SPECIES
Cu 63.55 Cu.upf
Sb 121.76 Sb.upf
Se 78.96 Se.upf
CELL_PARAMETERS angstrom
-1.458 -3.851 1.737
-2.046 -2.996 -2.610
2.050 -3.835 -1.032
ATOMIC_POSITIONS angstrom
Cu -0.363 -2.671 -0.476
Sb 0.000 0.000 0.000
Se -0.727 -5.341 -0.952

---

# 9
! SCAN TaOs2Pt, PBEsol geometry; values from VASP
! - space group = R-3m
! - E (eV/cell) = -280.0
! - polymorph energy (0 for the lowest one) (meV/atom) = 618
! - crystal system = trigonal
! - energy relative to the elements (eV per atom) = 0.14
&SYSTEM
  ibrav = 0, nat = 4, ntyp = 3
/
ATOMIC_SPECIES
Os 190.23 Os.upf
Pt 195.08 Pt.upf
Ta 180.95 Ta.upf
CELL_PARAMETERS angstrom
-1.944 1.976 -0.093
-2.670 -0.694 -0.290
-2.403 -0.001 8.866
ATOMIC_POSITIONS angstrom
Os -1.756 0.320 2.138
Os -5.261 0.962 6.345
Pt -3.509 0.641 4.241
Ta 0.000 0.000 0.000

---

# 10
! SCAN Zn2ReSi, PBEsol geometry; values from VASP
! - formation energy (no corrections) (meV per atom) = 81
! - space group = I-4m2
! - E (eV/cell) = -107.8
! - crystal system = tetragonal
&SYSTEM
  ibrav = 0, nat = 4, ntyp = 3
/
ATOMIC_SPECIES
Re 186.21 Re.upf
Si 28.09 Si.upf
Zn 65.41 Zn.upf
CELL_PARAMETERS angstrom
3.709 0.000 0.000
0.000 3.709 0.000
-1.855 -1.855 3.883
ATOMIC_POSITIONS angstrom
Re 1.855 1.855 0.000
Si 0.000 1.855 1.941
Zn 0.000 0.000 0.000
Zn 1.855 0.000 1.941

---

# 11
! SCAN InCu2TeF, PBEsol geometry; values from VASP
! - formation energy (no corrections) (meV per atom) = 619
! - space group = P4/mmm
! - E (eV/cell) = -101.5
! - crystal system = tetragonal
&SYSTEM
  ibrav = 0, nat = 5, ntyp = 4
/
ATOMIC_SPECIES
F 19.00 F.upf
Te 127.60 Te.upf
Cu 63.55 Cu.upf
In 114.82 In.upf
CELL_PARAMETERS angstrom
4.808 0.000 0.000
0.000 4.808 0.000
0.000 0.000 5.399
ATOMIC_POSITIONS angstrom
F 2.404 2.404 2.699
Te 0.000 0.000 2.699
Cu 0.000 2.404 0.000
Cu 2.404 0.000 0.000
In 0.000 0.000 0.000

---

# 12
! SCAN Rb2BaCo, PBEsol geometry; values from VASP
! - space group = Fm-3m
! - E (eV/cell) = -94.4
! - crystal system = cubic
! - energy relative to the elements (eV per atom) = 0.99
&SYSTEM
  ibrav = 0, nat = 4, ntyp = 3
/
ATOMIC_SPECIES
Co 58.93 Co.upf
Ba 137.33 Ba.upf
Rb 85.47 Rb.upf
CELL_PARAMETERS angstrom
-1.312 -3.517 -4.916
2.290 -5.731 -0.402
-3.753 -4.879 0.601
ATOMIC_POSITIONS angstrom
Co 0.000 0.000 0.000
Ba -1.387 -7.064 -2.358
Rb -0.694 -3.532 -1.179
Rb -2.081 -10.595 -3.538

---

# 13
! SCAN Be2CuPb, PBEsol geometry; values from VASP
! - space group = C2/m
! - E (eV/cell) = -97.2
! - crystal system = monoclinic
! - energy relative to the elements (eV per atom) = 0.63
&SYSTEM
  ibrav = 0, nat = 4, ntyp = 3
/
ATOMIC_SPECIES
Pb 207.20 Pb.upf
Be 9.01 Be.upf
Cu 63.55 Cu.upf
CELL_PARAMETERS angstrom
-2.940 0.385 1.324
2.491 -0.207 3.791
0.728 4.099 -2.660
ATOMIC_POSITIONS angstrom
Pb -0.225 0.089 2.558
Be 0.364 2.050 -1.330
Be 0.139 2.139 1.228
Cu 0.000 0.000 0.000

---

# 14
! SCAN LiIn3, PBEsol geometry; values from VASP
! - space group = Imm2
! - E (eV/cell) = -103.1
! - crystal system = orthorhombic
! - energy relative to the elements (eV per atom) = -0.13
&SYSTEM
  ibrav = 0, nat = 4, ntyp = 2
/
ATOMIC_SPECIES
In 114.82 In.upf
Li 6.94 Li.upf
CELL_PARAMETERS angstrom
-1.794 -1.800 2.239
4.451 -0.857 2.876
-2.239 5.553 0.109
ATOMIC_POSITIONS angstrom
In 0.857 0.732 3.836
In -0.496 2.175 1.351
In 2.872 -1.626 3.555
Li 1.483 -0.286 0.958

---

# 15
! SCAN CsAs3W, PBEsol geometry; values from VASP
! - space group = Pm-3m
! - E (eV/cell) = -167.2
! - crystal system = cubic
! - energy relative to the elements (eV per atom) = 0.16
&SYSTEM
  ibrav = 0, nat = 5, ntyp = 3
/
ATOMIC_SPECIES
Cs 132.91 Cs.upf
As 74.92 As.upf
W 183.84 W.upf
CELL_PARAMETERS angstrom
4.977 0.000 0.000
0.000 4.977 0.000
0.000 0.000 4.977
ATOMIC_POSITIONS angstrom
Cs 2.489 2.489 2.489
As 0.000 2.489 0.000
As 0.000 0.000 2.489
As 2.489 0.000 0.000
W 0.000 0.000 0.000

---

# 16
! SCAN BeSbAs2, PBEsol geometry; values from VASP
! - formation energy (no corrections) (meV per atom) = 339
! - space group = Fmmm
! - E (eV/cell) = -80.6
! - polymorph energy (0 for the lowest one) (meV/atom) = 337
! - crystal system = orthorhombic
&SYSTEM
  ibrav = 0, nat = 4, ntyp = 3
/
ATOMIC_SPECIES
Sb 121.76 Sb.upf
As 74.92 As.upf
Be 9.01 Be.upf
CELL_PARAMETERS angstrom
-0.069 -1.693 -3.450
3.362 -1.570 1.004
-4.085 -2.319 3.210
ATOMIC_POSITIONS angstrom
Sb 0.000 0.000 0.000
As -2.077 -2.006 -0.120
As -0.362 -1.945 2.107
Be 1.646 -1.631 -1.223

---

# 17
! SCAN Hg3AsI, PBEsol geometry; values from VASP
! - formation energy (no corrections) (meV per atom) = -73
! - space group = Pm-3m
! - E (eV/cell) = -261.8
! - crystal system = cubic
&SYSTEM
  ibrav = 0, nat = 5, ntyp = 3
/
ATOMIC_SPECIES
I 126.90 I.upf
As 74.92 As.upf
Hg 200.59 Hg.upf
CELL_PARAMETERS angstrom
5.282 0.000 0.000
0.000 5.282 0.000
0.000 0.000 5.282
ATOMIC_POSITIONS angstrom
I 2.641 2.641 2.641
As 0.000 0.000 0.000
Hg 0.000 2.641 0.000
Hg 0.000 0.000 2.641
Hg 2.641 0.000 0.000

---

# 18
! SCAN HfSBr3, PBEsol geometry; values from VASP
! - formation energy (no corrections) (meV per atom) = -398
! - space group = Pm-3m
! - E (eV/cell) = -132.7
! - crystal system = cubic
&SYSTEM
  ibrav = 0, nat = 5, ntyp = 3
/
ATOMIC_SPECIES
S 32.06 S.upf
Hf 178.49 Hf.upf
Br 79.90 Br.upf
CELL_PARAMETERS angstrom
-4.300 2.799 -0.437
-2.810 -4.111 1.313
0.365 1.335 4.960
ATOMIC_POSITIONS angstrom
S -3.373 0.012 2.918
Hf 0.000 0.000 0.000
Br -1.405 -2.055 0.656
Br 0.182 0.667 2.480
Br -2.150 1.400 -0.219

---

# 19
! SCAN Hf2SbTe, PBEsol geometry; values from VASP
! - formation energy (no corrections) (meV per atom) = -454
! - space group = Fm-3m
! - E (eV/cell) = -201.7
! - crystal system = cubic
&SYSTEM
  ibrav = 0, nat = 4, ntyp = 3
/
ATOMIC_SPECIES
Sb 121.76 Sb.upf
Te 127.60 Te.upf
Hf 178.49 Hf.upf
CELL_PARAMETERS angstrom
4.938 0.000 0.000
2.469 4.276 0.000
2.469 1.425 4.032
ATOMIC_POSITIONS angstrom
Sb 0.000 0.000 0.000
Te 4.938 2.851 2.016
Hf 2.469 1.425 1.008
Hf 7.407 4.276 3.024

---

# 20
! SCAN Y3RePb, PBEsol geometry; values from VASP
! - space group = Pm-3m
! - E (eV/cell) = -224.4
! - crystal system = cubic
! - energy relative to the elements (eV per atom) = 1.19
&SYSTEM
  ibrav = 0, nat = 5, ntyp = 3
/
ATOMIC_SPECIES
Pb 207.20 Pb.upf
Re 186.21 Re.upf
Y 88.91 Y.upf
CELL_PARAMETERS angstrom
5.551 0.000 0.000
0.000 5.551 0.000
0.000 0.000 5.551
ATOMIC_POSITIONS angstrom
Pb 0.000 0.000 0.000
Re 2.775 2.775 2.775
Y 0.000 2.775 0.000
Y 0.000 0.000 2.775
Y 2.775 0.000 0.000